YAsW | GGA-PBE | relaxed

```
data_YAsW
_cell_length_a 4.3299
_cell_length_b 4.3299
_cell_length_c 3.9183
_cell_angle_alpha 90.00
_cell_angle_beta 90.00
_cell_angle_gamma 120.00
_symmetry_space_group_name_H-M 'P -6 m 2'
_symmetry_Int_Tables_number 187
_symmetry_space_group_name_Hall 'P -6 2'
loop_
_atom_site_label
_atom_site_type_symbol
_atom_site_fract_x
_atom_site_fract_y
_atom_site_fract_z
Y1 Y 0.0000 0.0000 0.0000
As1 As 0.6667 0.3333 0.5000
W1 W 0.3333 0.6667 0.5000
```

Output
energy of formation: -0.055 eV per atom
offset from the most stable computed form: 122 meV per atom
calculated density: 9.07 Mg/m³